Record 1
An optimized crystal structure of Tl2SbO. Source: Alexandria, functional GGA-PBE.

## Properties
Energy above the most stable polymorph in this dataset (meV/atom): 311
Formation energy without anion corrections (eV/atom): 0.21

a b c (Å): 7.191 7.191 7.191
angles (deg): 90.00 90.00 90.00
Space group Fm-3m (No. 225)
Asymmetric unit:
Tl  0.250  0.250  0.250 [8 per cell]
Sb  0.000  0.000  0.000 [4 per cell]
O  0.000  0.000  0.500 [4 per cell]

Record 2
An optimized crystal structure of GeSbPd6. Source: Alexandria, functional GGA-PBE.

## Properties
Energy above the most stable polymorph in this dataset (meV/atom): 78
Formation energy without anion corrections (eV/atom): -0.29

a b c (Å): 7.402 5.503 7.460
angles (deg): 90.00 111.02 90.00
Space group C2/m (No. 12)
Asymmetric unit:
Ge  0.000  0.000  0.000 [2 per cell]
Sb  0.000  0.500  0.500 [2 per cell]
Pd  0.160  0.500  0.951 [4 per cell]
Pd  0.177  0.253  0.295 [8 per cell]

Record 3
An optimized crystal structure of Np3InTe6. Source: Alexandria, functional GGA-PBE.

## Properties
Formation energy without anion corrections (eV/atom): -0.53

a b c (Å): 12.133 14.841 7.438
angles (deg): 90.00 90.00 90.00
Space group Cmc2_1 (No. 36)
Asymmetric unit:
Np  0.000  0.094  0.000 [4 per cell]
Np  0.180  0.405  0.105 [8 per cell]
In  0.000  0.292  0.641 [4 per cell]
Te  0.000  0.274  0.259 [4 per cell]
Te  0.000  0.468  0.810 [4 per cell]
Te  0.163  0.040  0.300 [8 per cell]
Te  0.183  0.227  0.850 [8 per cell]

Record 4
An optimized crystal structure of Pr4Si3Ni. Source: Alexandria, functional GGA-PBE.

## Properties
Formation energy without anion corrections (eV/atom): -0.61

a b c (Å): 4.024 4.380 11.091
angles (deg): 90.00 90.00 90.00
Space group Pmm2 (No. 25)
Asymmetric unit:
Pr  0.000  0.000  0.000 [1 per cell]
Pr  0.000  0.500  0.494 [1 per cell]
Pr  0.500  0.000  0.275 [1 per cell]
Pr  0.500  0.500  0.782 [1 per cell]
Si  0.000  0.000  0.706 [1 per cell]
Si  0.000  0.500  0.199 [1 per cell]
Si  0.500  0.000  0.569 [1 per cell]
Ni  0.500  0.500  0.084 [1 per cell]

Record 5
An optimized crystal structure of In2GaBi2. Source: Alexandria, functional GGA-PBE.

## Properties
Energy above the most stable polymorph in this dataset (meV/atom): 0
ΔE_f (meV/atom): 56

a b c (Å): 6.802 15.014 5.422
angles (deg): 90.00 90.00 90.00
Space group Ibam (No. 72)
Asymmetric unit:
In  0.136  0.088  0.000 [8 per cell]
Ga  0.000  0.500  0.250 [4 per cell]
Bi  0.172  0.309  0.000 [8 per cell]

Record 6
An optimized crystal structure of SmTmV4. Source: Alexandria, functional GGA-PBE.

## Properties
ΔE_f (meV/atom): 366

a b c (Å): 7.610 7.610 7.610
angles (deg): 90.00 90.00 90.00
Space group F-43m (No. 216)
Asymmetric unit:
Sm  0.000  0.000  0.000 [4 per cell]
Tm  0.250  0.250  0.250 [4 per cell]
V  0.121  0.121  0.621 [16 per cell]

Record 7
An optimized crystal structure of Tb6IrPd5. Source: Alexandria, functional GGA-PBE.

## Properties
ΔE_f (meV/atom): -877

a b c (Å): 4.994 6.942 7.867
angles (deg): 90.00 108.06 90.00
Space group P2/m (No. 10)
Asymmetric unit:
Tb  0.000  0.244  0.000 [2 per cell]
Tb  0.337  0.247  0.673 [4 per cell]
Ir  0.500  0.000  0.000 [1 per cell]
Pd  0.166  0.500  0.333 [2 per cell]
Pd  0.168  0.000  0.340 [2 per cell]
Pd  0.500  0.500  0.000 [1 per cell]

Record 8
An optimized crystal structure of La2Ga3GeRh4. Source: Alexandria, functional GGA-PBE.

## Properties
ΔE_f (meV/atom): -833

a b c (Å): 4.394 4.394 9.928
angles (deg): 90.00 90.00 90.00
Space group P-4m2 (No. 115)
Asymmetric unit:
La  0.000  0.500  0.241 [2 per cell]
Ga  0.000  0.500  0.876 [2 per cell]
Ga  0.500  0.500  0.500 [1 per cell]
Ge  0.000  0.000  0.500 [1 per cell]
Rh  0.000  0.000  0.000 [1 per cell]
Rh  0.000  0.500  0.623 [2 per cell]
Rh  0.500  0.500  0.000 [1 per cell]

Record 9
An optimized crystal structure of Pr2NiGeN. Source: Alexandria, functional GGA-PBE.

## Properties
Formation energy without anion corrections (eV/atom): -0.88

a b c (Å): 6.564 3.859 8.443
angles (deg): 90.00 108.51 90.00
Space group P2_1/m (No. 11)
Asymmetric unit:
Pr  0.210  0.250  0.385 [2 per cell]
Pr  0.217  0.250  0.965 [2 per cell]
Ni  0.466  0.750  0.244 [2 per cell]
Ge  0.306  0.750  0.694 [2 per cell]
N  0.165  0.750  0.167 [2 per cell]

Record 10
An optimized crystal structure of CdInAgAu2. Source: Alexandria, functional GGA-PBE.

## Properties
ΔE_f (meV/atom): -115

a b c (Å): 5.161 4.859 8.164
angles (deg): 90.00 107.34 90.00
Space group P2_1/m (No. 11)
Asymmetric unit:
Cd  0.145  0.250  0.100 [2 per cell]
In  0.077  0.750  0.323 [2 per cell]
Ag  0.273  0.750  0.714 [2 per cell]
Au  0.331  0.250  0.498 [2 per cell]
Au  0.452  0.750  0.099 [2 per cell]

Record 11
An optimized crystal structure of CaY2Tc. Source: Alexandria, functional GGA-PBE.

## Properties
Energy above the most stable polymorph in this dataset (meV/atom): 0
ΔE_f (meV/atom): 13

a b c (Å): 3.529 3.518 9.207
angles (deg): 90.00 90.17 90.00
Space group P2/m (No. 10)
Asymmetric unit:
Ca  0.000  0.000  0.000 [1 per cell]
Y  0.499  0.500  0.325 [2 per cell]
Tc  0.000  0.000  0.500 [1 per cell]

Record 12
An optimized crystal structure of EuCuAu. Source: Alexandria, functional GGA-PBE.

## Properties
Energy above the most stable polymorph in this dataset (meV/atom): 0
ΔE_f (meV/atom): -502

a b c (Å): 4.5189 4.5189 3.8677
angles (deg): 90.00 90.00 120.00
Space group P-6m2 (No. 187)
Asymmetric unit:
Eu  0.0000  0.0000  0.0000 [1 per cell]
Cu  0.3333  0.6667  0.5000 [1 per cell]
Au  0.6667  0.3333  0.5000 [1 per cell]